Record 1
Here is CaZrP2Pt after structural relaxation from Alexandria. Energies are from GGA-PBE.

a = 4.855 Å, b = 6.170 Å, c = 4.855 Å
α = 90.00°, β = 90.00°, γ = 90.00°
Each line ends with the local moment (μB).
Sites, in units of the cell vectors:
P: 0.000 0.000 0.500  -0.01
P: 0.500 0.000 0.000  0.00
Ca: 0.000 0.500 0.000  0.06
Zr: 0.000 0.000 0.000  0.19
Pt: 0.500 0.500 0.500  0.11

Properties
M_tot = 0.110 μB per atom
E_form = 0.648 eV/atom

Record 2
Here is Nd3Y7Th2 after structural relaxation from Alexandria. Energies are from GGA-PBE.

a = 3.621 Å, b = 6.284 Å, c = 18.365 Å
α = 106.65°, β = 84.33°, γ = 90.02°
Sites, in units of the cell vectors:
Nd: 0.500 0.500 0.000
Nd: 0.166 0.720 0.667
Nd: 0.834 0.280 0.333
Y: 0.249 0.244 0.502
Y: 0.751 0.756 0.498
Y: 0.583 0.032 0.834
Y: 0.000 0.000 0.000
Y: 0.417 0.968 0.166
Y: 0.917 0.474 0.166
Y: 0.083 0.526 0.834
Th: 0.665 0.230 0.668
Th: 0.335 0.770 0.332

Properties
M_tot = 0.000 μB per atom
E_form = 0.044 eV/atom